Record 1
Here is crystalline Ac2PuAs at its relaxed geometry from Alexandria via LeMat-Bulk. Energies are from PBE.

Its density is 7.89 g/cm³. The offset from the most stable computed form is 134 meV/atom. The calculation puts the density of states at the Fermi level at 52.08 states/eV/cell. The value obtained for the formation energy is -0.158 eV/atom. The calculation puts the calculated total energy at -83.5 eV for the cell shown.

The space group is R-3m (No. 166, hexagonal axes) and the conventional cell measures 4.0864, 4.0864 and 33.7352 Å, with angles of 90.00, 90.00 and 120.00 degrees. The distinct sites, in fractional coordinates, are Ac at (0.0000, 0.0000, 0.1091), Pu at (0.0000, 0.0000, 0.0000) and As at (0.0000, 0.0000, 0.5000).

***

Record 2
Here is crystalline ZrTa2Te5 at its relaxed geometry from Alexandria via LeMat-Bulk. Energies are from PBE.

Its density is 6.97 g/cm³. The calculation puts the density of states at the Fermi level at 4.93 states/eV/cell. The calculation puts the calculated total energy at -100.1 eV for the cell shown.

The space group is C2/m (No. 12) and the conventional cell measures 5.875, 12.512 and 7.091 Å, with angles of 90.00, 93.52 and 90.00 degrees. The distinct sites, in fractional coordinates, are Zr at (0.000, 0.000, 0.000), Ta at (0.000, 0.281, 0.000), Te at (0.000, 0.500, 0.000) and Te at (0.187, 0.161, 0.284).

***

Record 3
Here is crystalline LiTmCdAu at its relaxed geometry from Alexandria via LeMat-Bulk. Energies are from PBE.

Its density is 10.09 g/cm³. The calculation puts the density of states at the Fermi level at 19.16 states/eV/cell. The value obtained for the formation energy is -0.486 eV/atom. The calculation puts the calculated total energy at -50.1 eV for the cell shown.

The space group is F-43m (No. 216) and the conventional cell measures 6.836, 6.836 and 6.836 Å, with angles of 90.00, 90.00 and 90.00 degrees. The distinct sites, in fractional coordinates, are Li at (0.000, 0.000, 0.000), Tm at (0.250, 0.250, 0.250), Cd at (0.250, 0.250, 0.750) and Au at (0.000, 0.000, 0.500).

***

Record 4
Here is crystalline TaTl2Rh at its relaxed geometry from Alexandria via LeMat-Bulk. Energies are from PBE.

Its density is 14.31 g/cm³. The offset from the most stable computed form is 396 meV/atom. The calculation puts the density of states at the Fermi level at 3.24 states/eV/cell. The value obtained for the formation energy is 0.492 eV/atom. The calculation puts the calculated total energy at -22.0 eV for the cell shown.

The space group is Pmmm (No. 47) and the conventional cell measures 3.108, 4.907 and 5.267 Å, with angles of 90.00, 90.00 and 90.00 degrees. The distinct sites, in fractional coordinates, are Ta at (0.000, 0.000, 0.000), Tl at (0.000, 0.500, 0.500), Tl at (0.500, 0.500, 0.000) and Rh at (0.500, 0.000, 0.500).

***

Record 5
Here is crystalline Nd6Sb5Cl at its relaxed geometry from Alexandria via LeMat-Bulk. Energies are from PBE.

Its density is 6.54 g/cm³. The calculation puts the density of states at the Fermi level at 6.36 states/eV/cell. The calculation puts the calculated total energy at -132.3 eV for the cell shown.

The space group is C2/m (No. 12) and the conventional cell measures 7.785, 13.460 and 7.768 Å, with angles of 90.00, 109.51 and 90.00 degrees. The distinct sites, in fractional coordinates, are Nd at (0.245, 0.000, 0.255), Nd at (0.246, 0.170, 0.747), Sb at (0.000, 0.000, 0.500), Sb at (0.000, 0.167, 0.000), Sb at (0.000, 0.334, 0.500) and Cl at (0.000, 0.500, 0.000).

***

Record 6
Here is crystalline Ho7Tl2Ge2 at its relaxed geometry from Alexandria via LeMat-Bulk. Energies are from PBE.

Its density is 8.85 g/cm³. The calculation puts the density of states at the Fermi level at 23.93 states/eV/cell. The value obtained for the formation energy is -0.281 eV/atom. The calculation puts the calculated total energy at -98.2 eV for the cell shown.

The space group is Cmmm (No. 65) and the conventional cell measures 8.309, 10.866 and 7.103 Å, with angles of 90.00, 90.00 and 90.00 degrees. The distinct sites, in fractional coordinates, are Ho at (0.000, 0.000, 0.000), Ho at (0.000, 0.500, 0.250), Ho at (0.250, 0.250, 0.265), Tl at (0.181, 0.000, 0.500) and Ge at (0.000, 0.279, 0.000).

***

Record 7
Here is crystalline AlCu2Ni at its relaxed geometry from Alexandria via LeMat-Bulk. Energies are from PBE.

Its density is 7.33 g/cm³. The calculation puts the density of states at the Fermi level at 3.86 states/eV/cell. The value obtained for the formation energy is -0.264 eV/atom. The calculation puts the calculated total energy at -37.5 eV for the cell shown.

The space group is Immm (No. 71) and the conventional cell measures 3.531, 3.550 and 7.696 Å, with angles of 90.00, 90.00 and 90.00 degrees. The distinct sites, in fractional coordinates, are Al at (0.000, 0.000, 0.000), Cu at (0.000, 0.500, 0.250) and Ni at (0.000, 0.000, 0.500).

***

Record 8
Here is crystalline Ce12Th3Al at its relaxed geometry from Alexandria via LeMat-Bulk. Energies are from PBE.

Its density is 9.16 g/cm³. The calculation puts the density of states at the Fermi level at 35.87 states/eV/cell. The value obtained for the formation energy is -0.024 eV/atom. The calculation puts the calculated total energy at -97.6 eV for the cell shown.

The space group is P4/mmm (No. 123) and the conventional cell measures 4.764, 4.764 and 19.207 Å, with angles of 90.00, 90.00 and 90.00 degrees. The distinct sites, in fractional coordinates, are Ce at (0.000, 0.000, 0.000), Ce at (0.000, 0.000, 0.249), Ce at (0.000, 0.000, 0.500), Ce at (0.000, 0.500, 0.119), Ce at (0.000, 0.500, 0.374), Th at (0.500, 0.500, 0.246), Th at (0.500, 0.500, 0.500) and Al at (0.500, 0.500, 0.000).

***

Record 9
Here is crystalline Pr6Sb3N at its relaxed geometry from Alexandria via LeMat-Bulk. Energies are from PBE.

Its density is 6.76 g/cm³. The calculation puts the density of states at the Fermi level at 19.88 states/eV/cell. The calculation puts the calculated total energy at -116.9 eV for the cell shown.

The space group is P2_1/c (No. 14) and the conventional cell measures 6.836, 8.297 and 12.461 Å, with angles of 90.00, 121.71 and 90.00 degrees. The distinct sites, in fractional coordinates, are Pr at (0.092, 0.041, 0.227), Pr at (0.186, 0.719, 0.055), Pr at (0.375, 0.156, 0.050), Sb at (0.316, 0.110, 0.748), Sb at (0.500, 0.000, 0.500) and N at (0.000, 0.000, 0.000).

***

Record 10
Here is crystalline Y4FeNi at its relaxed geometry from Alexandria via LeMat-Bulk. Energies are from PBE.

Its density is 4.91 g/cm³. The calculation puts the density of states at the Fermi level at 47.62 states/eV/cell. The value obtained for the formation energy is 0.986 eV/atom. The calculation puts the calculated total energy at -136.7 eV for the cell shown.

The space group is F-43m (No. 216) and the conventional cell measures 8.597, 8.597 and 8.597 Å, with angles of 90.00, 90.00 and 90.00 degrees. The distinct sites, in fractional coordinates, are Y at (0.125, 0.125, 0.125), Fe at (0.250, 0.250, 0.750) and Ni at (0.000, 0.000, 0.500).

***

Record 11
Here is crystalline K8Rb3Au3 at its relaxed geometry from Alexandria via LeMat-Bulk. Energies are from PBE.

Its density is 2.54 g/cm³. The calculation puts the density of states at the Fermi level at 18.52 states/eV/cell. The value obtained for the formation energy is -0.108 eV/atom. The calculation puts the calculated total energy at -46.0 eV for the cell shown.

The space group is C2/m (No. 12) and the conventional cell measures 22.316, 6.262 and 11.778 Å, with angles of 90.00, 112.92 and 90.00 degrees. The distinct sites, in fractional coordinates, are K at (0.024, 0.000, 0.352), K at (0.119, 0.500, 0.780), K at (0.143, 0.500, 0.439), K at (0.155, 0.000, 0.068), Rb at (0.000, 0.500, 0.000), Rb at (0.229, 0.000, 0.694), Au at (0.000, 0.500, 0.500) and Au at (0.192, 0.000, 0.371).

***

Record 12
Here is crystalline Sr2NdSb3Pd4 at its relaxed geometry from Alexandria via LeMat-Bulk. Energies are from PBE.

Its density is 7.40 g/cm³. The calculation puts the density of states at the Fermi level at 5.94 states/eV/cell. The calculation puts the calculated total energy at -49.7 eV for the cell shown.

The space group is P-4m2 (No. 115) and the conventional cell measures 4.622, 4.622 and 11.670 Å, with angles of 90.00, 90.00 and 90.00 degrees. The distinct sites, in fractional coordinates, are Sr at (0.000, 0.500, 0.220), Nd at (0.000, 0.000, 0.500), Sb at (0.000, 0.500, 0.876), Sb at (0.500, 0.500, 0.500), Pd at (0.000, 0.000, 0.000), Pd at (0.000, 0.500, 0.650) and Pd at (0.500, 0.500, 0.000).